# LiZr3Tc

A PBEsol-optimized structure of LiZr3Tc (SCAN, Alexandria via LeMat-Bulk).

abc: 5.0117 5.0117 5.0117
angles: 90.00 90.00 90.00
With the nearest neighbours (Å) after each atom.
Sites, in units of the cell vectors:
Li 0.5000 0.5000 0.5000  12 Zr 3.54
Zr 0.0000 0.5000 0.0000  2 Tc 2.51
Zr 0.5000 0.0000 0.0000  2 Tc 2.51
Zr 0.0000 0.0000 0.5000  2 Tc 2.51
Tc 0.0000 0.0000 0.0000  6 Zr 2.51

## Properties
As for the symmetry: No. 221. The uncorrected energy is -25.51 eV per atom. As for the formation energy: 0.40 eV per atom. The value obtained for the total magnetic moment is 0.88 μB/cell.